Zr2Be: relaxed, PBE.

The structure in CIF format:
```
data_Zr2Be
_chemical_formula_sum 'Zr4 Be2'
_cell_length_a 5.6800
_cell_length_b 5.6800
_cell_length_c 4.1212
_cell_angle_alpha 90.00
_cell_angle_beta 90.00
_cell_angle_gamma 120.00
_space_group_name_H-M_alt 'P -6 2 m'
_space_group_IT_number 189
_space_group_name_Hall 'P -6 -2'
loop_
_atom_site_label
_atom_site_fract_x
_atom_site_fract_y
_atom_site_fract_z
Zr1 0.0000 0.0000 0.0000
Zr2 0.0000 0.4042 0.5000
Be1 0.3333 0.6667 0.0000
```

## Properties
Magnetization (μB per formula unit): 0.00
Energy (eV/atom): -6.815
Calculated volume (Å³ per cell): 115.15



Zr2Be: relaxed, PBE.

The structure in CIF format:
```
data_Zr2Be
_chemical_formula_sum 'Zr8 Be4'
_cell_length_a 4.193
_cell_length_b 9.511
_cell_length_c 5.653
_cell_angle_alpha 90.00
_cell_angle_beta 90.00
_cell_angle_gamma 90.00
_space_group_name_H-M_alt 'P m m n'
_space_group_IT_number 59
loop_
_space_group_symop_operation_xyz
'x,y,z'
'-x,-y,-z'
'-x+1/2,-y+1/2,z'
'x+1/2,y+1/2,-z'
'x+1/2,-y,-z'
'-x+1/2,y,z'
'-x,y+1/2,-z'
'x,-y+1/2,z'
loop_
_atom_site_label
_atom_site_fract_x
_atom_site_fract_y
_atom_site_fract_z
Zr1 0.250 0.051 0.159
Zr2 0.250 0.250 0.603
Zr3 0.250 0.750 0.961
Be1 0.250 0.560 0.568
```

## Properties
Magnetization (μB per formula unit): 0.00
Energy (eV/atom): -6.811
Calculated volume (Å³ per cell): 225.40



Q: Number 2 is which compound?
A: Zr2Be



Q: The highest energy belongs to which entry?
A: number 2



Q: Which value of energy does entry 1 give?
A: -6.815 eV/atom